# 1
The following is a PBE-GGA calculation of FeRhSe2 after structural relaxation, from the Alexandria database.

**Raw formation energy**: 0.03 eV per atom
**Theoretical density**: 7.6 g/cm³
**Total magnetic moment**: 1.87 μB/f.u.

Cell: 8.0268 8.0268 8.0268 Å, 22.99 22.99 22.99°
Each line ends with the local moment (μB).
Element x y z (fractional)
Rh1 0.0000 0.0000 0.0000  -0.01
Fe1 0.5000 0.5000 0.5000  1.84
Se1 0.8986 0.8986 0.8986  0.01
Se2 0.1014 0.1014 0.1014  0.01

***

# 2
The following is a PBE-GGA calculation of Ti2P2Rh after structural relaxation, from the Alexandria database.

**Theoretical density**: 6.3 g/cm³
**Energy relative to the elements**: -0.992 eV per atom
**Total magnetic moment**: 0.00 μB/f.u.

Cell: 6.2128 6.2128 3.5812 Å, 90.00 90.00 90.00°
Element x y z (fractional)
P1 0.3681 0.8681 0.0000
P2 0.8681 0.6319 0.0000
P3 0.6319 0.1319 0.0000
P4 0.1319 0.3681 0.0000
Rh1 0.0000 0.0000 0.0000
Rh2 0.5000 0.5000 0.0000
Ti1 0.1664 0.6664 0.5000
Ti2 0.6664 0.8336 0.5000
Ti3 0.8336 0.3336 0.5000
Ti4 0.3336 0.1664 0.5000

***

# 3
The following is a PBE-GGA calculation of Pm2Tm3Tl after structural relaxation, from the Alexandria database.

**Theoretical density**: 9.2 g/cm³
**Energy relative to the elements**: -0.095 eV per atom
**Polymorph energy (0 for the lowest one)**: 0.000 eV per atom
**Total magnetic moment**: 0.00 μB/f.u.

Cell: 4.9020 4.8476 7.9512 Å, 107.75 90.00 90.00°
Element x y z (fractional)
Pm1 0.0000 0.6620 0.3241
Pm2 0.0000 0.3380 0.6759
Tm1 0.5000 0.1665 0.3330
Tm2 0.5000 0.5000 0.0000
Tm3 0.5000 0.8335 0.6670
Tl1 0.0000 0.0000 0.0000

***

Q: Number 2 is which compound?
A: Ti2P2Rh

***

Please write out number 2 again, unchanged.
The following is a PBE-GGA calculation of Ti2P2Rh after structural relaxation, from the Alexandria database.

**Theoretical density**: 6.3 g/cm³
**Energy relative to the elements**: -0.992 eV per atom
**Total magnetic moment**: 0.00 μB/f.u.

Cell: 6.2128 6.2128 3.5812 Å, 90.00 90.00 90.00°
Element x y z (fractional)
P1 0.3681 0.8681 0.0000
P2 0.8681 0.6319 0.0000
P3 0.6319 0.1319 0.0000
P4 0.1319 0.3681 0.0000
Rh1 0.0000 0.0000 0.0000
Rh2 0.5000 0.5000 0.0000
Ti1 0.1664 0.6664 0.5000
Ti2 0.6664 0.8336 0.5000
Ti3 0.8336 0.3336 0.5000
Ti4 0.3336 0.1664 0.5000

***

Q: Number 2 is which compound?
A: Ti2P2Rh